Here is a relaxed structure of Rb3La3MoO8 from Alexandria. Energies are from PBE with a Hubbard U.

The structure in extended XYZ format:
```
15
Lattice="7.196 0.000 0.000 -3.598 6.296 -0.002 0.000 -4.156 6.612" Properties=species:S:1:pos:R:3 pbc="T T T"
Rb 0.000 0.000 0.000
Rb -1.799 3.148 -0.001
Rb 1.799 3.148 -0.001
La 3.598 -2.078 3.306
La 1.799 1.070 3.305
La -1.799 1.070 3.305
Mo 0.000 -2.078 3.306
O 0.000 2.134 2.120
O 3.598 0.006 4.490
O 3.598 2.288 2.205
O 0.000 -0.148 4.405
O 5.626 -1.170 2.219
O -2.028 3.310 4.391
O 1.570 -1.170 2.219
O 2.028 3.310 4.391
```

Values from the calculation:
The calculation puts the total energy at -6.742 eV per atom. Its calculated volume is 299.5 Å³/cell.